(1)
Material: CeGa2Pd2Au
Method: DFT, GGA-PBE
State: relaxed

Calculated values
Energy of formation: -204 meV/atom
Crystal system: tetragonal

a = 4.7864 Å, b = 4.7864 Å, c = 5.7183 Å
α = 90.00°, β = 90.00°, γ = 90.00°
Fractional positions:
1 Ce 0.0000 0.0000 0.0000
2 Ga 0.0000 0.5000 0.5000
3 Ga 0.5000 0.0000 0.5000
4 Pd 0.5000 0.5000 0.2445
5 Pd 0.5000 0.5000 0.7555
6 Au 0.0000 0.0000 0.5000

(2)
Material: CeGa5Pd2Au
Method: DFT, GGA-PBE
State: relaxed

Calculated values
Energy of formation: -312 meV/atom
Crystal system: tetragonal

a = 4.3254 Å, b = 4.3254 Å, c = 10.4190 Å
α = 90.00°, β = 90.00°, γ = 90.00°
Fractional positions:
1 Ce 0.0000 0.0000 0.0000
2 Ga 0.0000 0.5000 0.3449
3 Ga 0.0000 0.5000 0.6551
4 Ga 0.5000 0.0000 0.3449
5 Ga 0.5000 0.0000 0.6551
6 Ga 0.5000 0.5000 0.0000
7 Pd 0.5000 0.5000 0.2259
8 Pd 0.5000 0.5000 0.7741
9 Au 0.0000 0.0000 0.5000